! Sc8InGa2, relaxed, DFT PBE-GGA; values from VASP
&SYSTEM
  ibrav = 0, nat = 11, ntyp = 3
/
ATOMIC_SPECIES
Sc 44.96 Sc.upf
Ga 69.72 Ga.upf
In 114.82 In.upf
CELL_PARAMETERS angstrom
5.0593 -0.1737 -0.2606
-1.0846 7.5903 -0.3140
-1.0846 -3.2131 6.8839
ATOMIC_POSITIONS angstrom
Sc 2.7964 2.0002 5.8497
Sc 1.4450 5.0134 1.2148
Sc 1.4450 -0.8098 5.0945
Sc 2.7964 4.6281 4.0988
Ga -1.0846 4.2896 1.8852
Sc 0.2080 2.5736 3.8628
In 2.5297 -0.0868 -0.1303
Sc 0.0936 -0.4245 2.2105
Sc 0.0936 2.2034 0.4596
Sc 2.6820 1.6300 2.4465
Ga -1.0846 0.0876 4.6848
! N(E_F) in states/eV/atom: 1.44
! Relative energy among the computed polymorphs in meV per atom: 47
! ΔE_f in eV/atom: -0.2476